1.
12
Lattice="-5.941 -0.358 0.212 0.372 -7.044 -1.473 3.146 2.136 8.206" Properties=species:S:1:pos:R:3 comment="PBE Sm4InCo, relaxed" formation_energy_ev_per_atom=-0.2240 de_polymorph_ev_per_atom=0.035 pbc="T T T"
Sm 0.322 -4.099 2.057
Sm 0.183 0.547 6.170
Sm 0.081 -1.539 -0.322
Sm -2.791 -2.320 1.505
Sm -2.745 -1.167 4.888
Sm -2.606 -5.813 0.774
Sm 0.291 -5.505 -1.151
Sm 0.368 -2.946 5.440
In -2.565 -4.652 3.974
In 0.142 -0.614 2.971
Co -1.472 -3.623 -0.671
Co -0.951 -1.643 7.615

=====

2.
23
Lattice="6.589 0.000 0.000 0.000 6.589 0.000 0.000 0.000 12.284" Properties=species:S:1:pos:R:3 comment="PBE Sm4In16Co3, relaxed" formation_energy_ev_per_atom=-0.2966 pbc="T T T"
Sm 3.294 0.000 9.874
Sm 0.000 3.294 2.409
Sm 0.000 3.294 9.874
Sm 3.294 0.000 2.409
In 0.000 0.000 9.710
In 1.791 1.791 0.000
In 3.294 3.294 9.886
In 4.798 1.791 0.000
In 3.294 3.294 2.398
In 4.798 4.798 0.000
In 0.000 0.000 2.574
In 4.937 4.937 7.577
In 4.937 1.651 4.706
In 1.651 1.651 7.577
In 1.651 4.937 4.706
In 1.791 4.798 0.000
In 4.937 4.937 4.706
In 4.937 1.651 7.577
In 1.651 1.651 4.706
In 1.651 4.937 7.577
Co 0.000 3.294 6.142
Co 0.000 0.000 0.000
Co 3.294 0.000 6.142

=====

3.
16
Lattice="-1.985 -3.186 -6.812 5.456 -5.458 0.963 -6.312 0.314 6.132" Properties=species:S:1:pos:R:3 comment="PBE Sm5InCo2, relaxed" formation_energy_ev_per_atom=-0.1940 pbc="T T T"
Sm -1.856 -5.319 1.589
Sm 2.059 -7.732 -2.863
Sm 0.000 0.000 0.000
Sm 1.735 -4.322 -2.924
Sm -4.899 -0.598 3.147
Sm -4.933 -3.150 -0.090
Sm -1.823 -2.767 4.825
Sm 2.092 -5.180 0.373
Sm -1.018 -5.563 -4.542
Sm -0.985 -3.011 -1.305
In -0.553 -6.326 -1.320
In -2.288 -2.004 1.604
Co 1.745 -2.429 -0.545
Co -0.534 -2.734 -4.178
Co 4.005 -5.910 -1.671
Co 1.725 -6.215 -5.304

=====

4.
10
Lattice="5.030 0.000 0.000 0.000 8.147 0.292 0.000 -3.332 7.440" Properties=species:S:1:pos:R:3 comment="PBE Sm7InCo2, relaxed" formation_energy_ev_per_atom=-0.0147 pbc="T T T"
Sm 0.000 4.798 2.377
Sm 0.000 0.017 5.355
Sm 2.515 -0.624 2.341
Sm 2.515 5.439 5.391
Sm 2.515 2.376 0.472
Sm 2.515 2.438 7.259
Sm 2.515 2.407 3.866
In 0.000 0.000 0.000
Co 2.515 4.719 2.427
Co 2.515 0.096 5.305

=====

5.
11
Lattice="-3.182 1.184 -6.000 -6.211 -1.787 2.942 0.063 5.831 3.677" Properties=species:S:1:pos:R:3 comment="PBE Sm7In2Co2, relaxed" formation_energy_ev_per_atom=-0.1571 pbc="T T T"
Sm -4.663 3.665 -3.441
Sm -6.226 5.070 2.900
Sm -4.666 1.562 4.061
Sm -3.104 0.157 -2.280
Sm 0.000 0.000 0.000
Sm -6.309 2.139 1.086
Sm -3.021 3.087 -0.466
In -5.679 4.894 -0.445
In -3.651 0.333 1.065
Co -8.441 0.759 -0.220
Co -0.889 4.468 0.840

=====

6.
5
Lattice="4.917 0.000 0.000 0.000 4.917 0.000 0.000 0.000 4.917" Properties=species:S:1:pos:R:3 comment="PBE SmIn3Co, relaxed" formation_energy_ev_per_atom=-0.1346 pbc="T T T"
Co 0.000 0.000 0.000
Sm 2.458 2.458 2.458
In 0.000 2.458 0.000
In 0.000 0.000 2.458
In 2.458 0.000 0.000

=====

7.
24
Lattice="-6.782 -6.954 0.652 -0.494 -6.968 -6.780 2.581 -9.125 2.201" Properties=species:S:1:pos:R:3 comment="PBE Sm4InCo, relaxed" formation_energy_ev_per_atom=-0.2590 de_polymorph_ev_per_atom=0.000 pbc="T T T"
Sm -1.893 -9.291 -1.583
Sm -4.521 -11.986 -1.330
Sm -2.084 -11.991 -4.211
Sm -0.893 -12.827 -0.730
Sm -1.649 -16.374 -1.363
Sm -5.393 -18.196 -4.527
Sm -2.817 -15.555 -4.775
Sm -4.225 -19.016 -1.116
Sm -5.205 -15.550 -1.952
Sm -1.837 -19.021 -3.939
Sm 0.711 -10.035 0.621
Sm -5.406 -13.012 -4.548
Sm -1.197 -8.697 -4.953
Sm -3.498 -14.351 1.026
Sm -5.099 -8.688 -0.341
Sm 0.404 -14.360 -3.587
In -0.792 -3.889 -0.663
In -2.996 -6.149 -0.451
In -0.953 -6.154 -2.866
In 0.046 -6.855 0.053
Co -2.861 -14.045 -2.393
Co 0.107 -11.002 -2.678
Co -2.645 -10.996 0.574
Co -3.990 -10.052 -3.356

=====

8.
7
Lattice="5.096 0.000 0.000 0.000 5.096 0.000 -2.548 -2.548 8.095" Properties=species:S:1:pos:R:3 comment="PBE Sm4In2Co, relaxed" formation_energy_ev_per_atom=-0.1702 de_polymorph_ev_per_atom=0.002 pbc="T T T"
Co 0.000 0.000 0.000
Sm 2.548 2.548 5.269
Sm 0.000 0.000 2.826
Sm 0.000 2.548 0.000
Sm 2.548 0.000 0.000
In 2.548 2.548 2.158
In 0.000 0.000 5.937

=====

9.
8
Lattice="3.582 0.000 0.000 0.000 3.582 0.000 0.000 0.000 16.288" Properties=species:S:1:pos:R:3 comment="PBE Sm4In3Co, relaxed" formation_energy_ev_per_atom=-0.3648 pbc="T T T"
Co 1.791 1.791 0.000
Sm 0.000 0.000 14.642
Sm 0.000 0.000 1.647
Sm 0.000 0.000 5.974
Sm 0.000 0.000 10.315
In 1.791 1.791 3.834
In 1.791 1.791 8.144
In 1.791 1.791 12.454

=====

10.
7
Lattice="-0.619 3.500 0.835 -6.927 -2.546 5.542 9.075 1.480 0.522" Properties=species:S:1:pos:R:3 comment="PBE Sm4In2Co, relaxed" formation_energy_ev_per_atom=-0.1725 de_polymorph_ev_per_atom=0.000 pbc="T T T"
Sm 0.297 0.568 5.823
Sm -1.242 -0.830 2.560
Sm 1.541 1.714 1.941
Sm 3.698 -0.388 4.369
In 4.876 2.165 2.521
In -3.039 0.117 5.243
Co 0.154 -0.076 0.433

=====

11.
9
Lattice="4.499 0.000 0.000 0.000 7.612 0.000 0.000 -3.806 6.592" Properties=species:S:1:pos:R:3 comment="PBE Sm3Tl2In3Co, relaxed" formation_energy_ev_per_atom=-0.3640 pbc="T T T"
Sm 0.000 -1.457 2.524
Sm 0.000 2.349 4.068
Sm 0.000 2.914 0.000
Tl 2.249 0.000 4.395
Tl 2.249 3.806 2.197
In 2.249 5.865 0.000
In 2.249 0.873 1.513
In 2.249 -2.932 5.079
Co 0.000 0.000 0.000

=====

12.
4
Lattice="5.108 0.000 0.000 2.554 4.424 0.000 2.554 1.475 4.171" Properties=species:S:1:pos:R:3 comment="PBE SmTmInCo, relaxed" formation_energy_ev_per_atom=-0.1742 pbc="T T T"
Tm 2.554 1.475 1.043
Co 5.108 2.949 2.086
Sm 7.663 4.424 3.128
In 0.000 0.000 0.000

=====

13.
10
Lattice="-1.677 6.532 -0.115 -3.080 -0.895 -5.933 -4.556 -1.125 2.535" Properties=species:S:1:pos:R:3 comment="PBE In2CoSn2, relaxed" formation_energy_ev_per_atom=0.2164 de_polymorph_ev_per_atom=0.127 pbc="T T T"
Co 0.000 0.000 0.000
Co -2.379 2.818 -3.024
Sn -3.138 1.446 -4.998
Sn -3.448 4.865 -4.036
Sn -1.619 4.191 -1.050
Sn -1.310 0.771 -2.012
In -4.624 -0.055 -2.724
In -5.959 3.067 -3.737
In -4.689 4.566 -0.789
In -3.354 1.445 0.224

=====

14.
5
Lattice="-1.630 -2.372 -3.673 3.815 1.145 -2.432 2.138 -3.852 1.540" Properties=species:S:1:pos:R:3 comment="PBE InCo3Sn, relaxed" formation_energy_ev_per_atom=1.1474 de_polymorph_ev_per_atom=0.000 pbc="T T T"
Co 1.907 0.572 -1.216
Co 1.069 -1.926 0.770
Co -0.815 -1.186 -1.837
Sn 0.000 0.000 0.000
In 2.161 -2.540 -2.283

=====

15.
12
Lattice="5.012 0.472 0.000 -1.447 4.822 0.000 0.000 0.000 9.958" Properties=species:S:1:pos:R:3 comment="PBE InCoSn, relaxed" formation_energy_ev_per_atom=0.0252 pbc="T T T"
Co 2.906 4.314 0.519
Co 2.443 3.626 5.498
Co 0.660 0.980 9.439
Co 1.123 1.667 4.460
Sn 3.118 1.747 0.000
Sn 0.447 3.546 0.000
Sn -0.111 3.922 4.979
Sn 3.676 1.371 4.979
In 2.272 3.373 2.803
In 0.489 0.726 2.176
In 3.076 4.567 7.782
In 1.294 1.921 7.155

=====

16.
8
Lattice="-1.895 0.197 2.490 1.237 -4.586 -0.670 9.951 1.595 7.446" Properties=species:S:1:pos:R:3 comment="PBE In2CoSn, relaxed" formation_energy_ev_per_atom=0.0402 pbc="T T T"
In 5.947 -2.451 4.720
In 3.346 -0.343 4.546
In 9.413 -1.896 7.313
In -0.120 -0.898 1.952
Co 6.710 -1.704 7.212
Co 2.582 -1.090 2.054
Sn 1.762 -2.989 3.557
Sn 7.531 0.195 5.709

=====

17.
8
Lattice="9.788 0.000 0.000 0.000 9.788 0.000 4.894 4.894 2.433" Properties=species:S:1:pos:R:3 comment="PBE In2CoSn, relaxed" formation_energy_ev_per_atom=0.1329 pbc="T T T"
Co 4.894 4.894 0.000
Co 4.894 9.788 1.216
Sn 0.000 0.000 0.000
Sn 9.788 4.894 1.216
In 4.902 2.447 0.608
In 4.886 7.341 0.608
In 7.341 9.780 1.825
In 12.235 9.796 1.825

=====

18.
7
Lattice="-1.523 4.395 -1.026 -4.455 -1.292 1.079 -1.706 3.885 8.121" Properties=species:S:1:pos:R:3 comment="PBE In2CoSn4, relaxed" formation_energy_ev_per_atom=0.1126 pbc="T T T"
Co 0.000 0.000 0.000
Sn -2.097 3.174 5.653
Sn -5.588 3.814 2.520
Sn -2.228 -0.646 0.540
Sn -0.762 2.197 -0.513
In -2.556 2.339 2.758
In -5.129 4.649 5.415

=====

19.
10
Lattice="7.018 0.000 0.000 0.000 7.018 0.000 0.000 0.000 3.542" Properties=species:S:1:pos:R:3 comment="PBE InCo2Sn2, relaxed" formation_energy_ev_per_atom=0.1205 de_polymorph_ev_per_atom=0.000 pbc="T T T"
Co 2.521 6.030 0.000
Co 6.030 4.497 0.000
Co 4.497 0.988 0.000
Co 0.988 2.521 0.000
Sn 1.089 4.598 1.771
Sn 4.598 5.929 1.771
Sn 5.929 2.420 1.771
Sn 2.420 1.089 1.771
In 0.000 0.000 0.000
In 3.509 3.509 0.000

=====

20.
10
Lattice="6.594 0.139 -0.416 -1.670 6.380 0.416 -3.054 -2.812 5.541" Properties=species:S:1:pos:R:3 comment="PBE In3CoSn, relaxed" formation_energy_ev_per_atom=0.0828 de_polymorph_ev_per_atom=0.000 pbc="T T T"
In 4.730 -0.457 1.082
In 0.064 1.956 1.498
In 1.805 1.751 4.043
In 3.466 2.501 0.879
In -2.861 4.165 4.459
In -1.597 1.206 4.662
Co 1.685 3.846 2.249
Co 0.184 -0.139 3.292
Sn 2.184 -1.649 4.003
Sn -0.315 5.357 1.538

=====

21.
5
Lattice="-0.287 4.879 0.954 -4.959 -0.346 0.279 0.340 -0.934 4.879" Properties=species:S:1:pos:R:3 comment="PBE In3CoSn, relaxed" formation_energy_ev_per_atom=0.1549 de_polymorph_ev_per_atom=0.072 pbc="T T T"
Co 0.000 0.000 0.000
Sn -2.453 1.799 3.056
In -2.480 -0.173 0.139
In 0.170 -0.467 2.440
In -0.143 2.439 0.477

=====

22.
7
Lattice="-0.856 1.922 4.318 -3.505 -3.203 0.731 3.782 -6.319 6.234" Properties=species:S:1:pos:R:3 comment="PBE In4CoSn2, relaxed" formation_energy_ev_per_atom=0.1433 pbc="T T T"
Co 0.000 0.000 0.000
Sn 0.266 -2.971 4.047
Sn -0.845 -4.629 7.236
In 2.146 -4.760 5.216
In -2.724 -2.839 6.067
In -1.752 -1.601 0.365
In -0.428 0.961 2.159

=====

What did we get for uncorrected energy? Answer: -0.184, -0.145, -0.193, -0.184, -0.182, -0.152, -0.185, -0.171, -0.171, -0.171, -0.153, -0.181, -0.143, -0.164, -0.169, -0.151, -0.147, -0.146, -0.179, -0.139, -0.136, -0.132 hartree per atom, in the order shown.